Density functional theory data (SCAN) for a PBEsol-optimized structure of Sr2CaTa.

Lattice parameters (Å, degrees): 3.5151 3.5151 12.4104 81.86 81.86 60.00
Closest atoms and distances in Å follow each position.
Fractional positions:
Sr  0.2378  0.2378  0.2866  3 Ta 3.31, 6 Sr 3.52
Sr  0.7622  0.7622  0.7134  3 Ta 3.31, 6 Sr 3.52
Ca  0.0000  0.0000  0.0000  6 Ca 3.52
Ta  0.5000  0.5000  0.5000  6 Sr 3.31, 6 Ta 3.52

Values from the calculation:
As for the density of states at the Fermi level: 3.291 states/eV/f.u. As for the formation energy from the elements: 876.5 meV/atom. As for the energy above the most stable polymorph in this dataset: 0 meV/atom. The mass density is 5.0 g/cm3.